(1)
Entry from Alexandria: crystalline Cr2P2Br at its relaxed geometry (GGA-PBE).

Unit cell a=4.2988 b=4.2988 c=8.9575 alpha=90.00 beta=90.00 gamma=90.00
With the nearest neighbours (Å) after each atom.
Element x y z (fractional)
Cr  0.0000  0.5000  0.2500  4 P 2.38
Cr  0.0000  0.5000  0.7500  4 P 2.38
Cr  0.5000  0.0000  0.2500  4 P 2.38
Cr  0.5000  0.0000  0.7500  4 P 2.38
P  0.0000  0.0000  0.1354  4 Cr 2.38, 1 P 2.43
P  0.0000  0.0000  0.8646  4 Cr 2.38, 1 P 2.43
P  0.5000  0.5000  0.3646  4 Cr 2.38, 1 P 2.43
P  0.5000  0.5000  0.6354  4 Cr 2.38, 1 P 2.43
Br  0.0000  0.0000  0.5000  8 Cr 3.10, 10 P 3.27
Br  0.5000  0.5000  0.0000  8 Cr 3.10, 10 P 3.27

Values from the calculation:
Energy relative to the elements, uncorrected ... -0.04 eV per atom

---

(2)
Entry from Alexandria: crystalline Zn7Cu3 at its relaxed geometry (GGA-PBE).

Unit cell a=7.0158 b=7.0158 c=5.4164 alpha=99.78 beta=99.78 gamma=31.39
With the nearest neighbours (Å) after each atom.
Element x y z (fractional)
Zn  0.0000  0.0000  0.0000  4 Cu 2.65-2.71, 8 Zn 2.68-2.70
Zn  0.2009  0.2009  0.6085  7 Zn 2.64-2.72, 5 Cu 2.67-2.74
Zn  0.3968  0.3968  0.1938  5 Cu 2.63-2.74, 7 Zn 2.64-2.72
Zn  0.4007  0.4007  0.6970  4 Cu 2.65-2.67, 8 Zn 2.66-2.72
Zn  0.5993  0.5993  0.3030  4 Cu 2.65-2.67, 8 Zn 2.66-2.72
Zn  0.6032  0.6032  0.8062  5 Cu 2.63-2.74, 7 Zn 2.64-2.72
Zn  0.7991  0.7991  0.3915  7 Zn 2.64-2.72, 5 Cu 2.67-2.74
Cu  0.0000  0.0000  0.5000  12 Zn 2.65-2.74
Cu  0.1992  0.1992  0.1024  10 Zn 2.63-2.74, 2 Cu 2.69
Cu  0.8008  0.8008  0.8976  10 Zn 2.63-2.74, 2 Cu 2.69

Values from the calculation:
Calculated formation energy ... -0.91 kcal/mol of atoms

---

(3)
Entry from Alexandria: crystalline LiGdTiRu at its relaxed geometry (GGA-PBE).

Unit cell a=6.6078 b=6.6078 c=6.6078 alpha=90.00 beta=90.00 gamma=90.00
With the nearest neighbours (Å) after each atom.
Element x y z (fractional)
Li  0.0000  0.0000  0.0000  4 Ti 2.86, 4 Gd 2.86
Li  0.0000  0.5000  0.5000  4 Ti 2.86, 4 Gd 2.86
Li  0.5000  0.0000  0.5000  4 Ti 2.86, 4 Gd 2.86
Li  0.5000  0.5000  0.0000  4 Ti 2.86, 4 Gd 2.86
Gd  0.2500  0.2500  0.2500  4 Li 2.86, 4 Ru 2.86
Gd  0.2500  0.7500  0.7500  4 Li 2.86, 4 Ru 2.86
Gd  0.7500  0.2500  0.7500  4 Li 2.86, 4 Ru 2.86
Gd  0.7500  0.7500  0.2500  4 Li 2.86, 4 Ru 2.86
Ti  0.2500  0.2500  0.7500  4 Li 2.86, 4 Ru 2.86
Ti  0.2500  0.7500  0.2500  4 Ru 2.86, 4 Li 2.86
Ti  0.7500  0.2500  0.2500  4 Ru 2.86, 4 Li 2.86
Ti  0.7500  0.7500  0.7500  4 Ru 2.86, 4 Li 2.86
Ru  0.0000  0.0000  0.5000  4 Gd 2.86, 4 Ti 2.86
Ru  0.0000  0.5000  0.0000  4 Gd 2.86, 4 Ti 2.86
Ru  0.5000  0.0000  0.0000  4 Gd 2.86, 4 Ti 2.86
Ru  0.5000  0.5000  0.5000  4 Gd 2.86, 4 Ti 2.86

Values from the calculation:
Calculated formation energy ... -2.73 kcal/mol of atoms

---

(4)
Entry from Alexandria: crystalline Ac2La15Th2 at its relaxed geometry (GGA-PBE).

Unit cell a=9.0529 b=9.0529 c=9.0529 alpha=80.72 beta=80.72 gamma=80.72
With the nearest neighbours (Å) after each atom.
Element x y z (fractional)
Ac  0.1724  0.1724  0.1724  15 La 4.18-4.46, 1 Th 4.35
Ac  0.8276  0.8276  0.8276  15 La 4.18-4.46, 1 Th 4.35
La  0.0000  0.5000  0.5000  8 La 3.45-3.48, 2 Th 3.68
La  0.1391  0.1391  0.6505  6 La 3.42-3.55
La  0.1391  0.6505  0.1391  6 La 3.42-3.55
La  0.2085  0.5000  0.7915  6 La 3.42-3.55, 2 Th 3.76
La  0.2085  0.7915  0.5000  6 La 3.42-3.55, 2 Th 3.76
La  0.3495  0.8609  0.8609  6 La 3.42-3.55
La  0.5000  0.0000  0.5000  8 La 3.45-3.48, 2 Th 3.68
La  0.5000  0.2085  0.7915  6 La 3.42-3.55, 2 Th 3.76
La  0.5000  0.5000  0.0000  8 La 3.45-3.48, 2 Th 3.68
La  0.5000  0.7915  0.2085  6 La 3.42-3.55, 2 Th 3.76
La  0.6505  0.1391  0.1391  6 La 3.42-3.55
La  0.7915  0.2085  0.5000  6 La 3.42-3.55, 2 Th 3.76
La  0.7915  0.5000  0.2085  6 La 3.42-3.55, 2 Th 3.76
La  0.8609  0.3495  0.8609  6 La 3.42-3.55
La  0.8609  0.8609  0.3495  6 La 3.42-3.55
Th  0.4136  0.4136  0.4136  1 Th 3.12
Th  0.5864  0.5864  0.5864  1 Th 3.12

Values from the calculation:
Calculated formation energy ... 4.13 kcal/mol of atoms

---

(5)
Entry from Alexandria: crystalline NdPaIr at its relaxed geometry (GGA-PBE).

Unit cell a=6.2573 b=7.2843 c=7.0960 alpha=90.00 beta=90.00 gamma=90.00
With the nearest neighbours (Å) after each atom.
Element x y z (fractional)
Nd  0.1131  0.0928  0.2500  2 Ir 3.06-3.09
Nd  0.1131  0.4072  0.7500  2 Ir 3.06-3.09
Nd  0.8869  0.5928  0.2500  2 Ir 3.06-3.09
Nd  0.8869  0.9072  0.7500  2 Ir 3.06-3.09
Pa  0.4183  0.7500  0.0000  4 Ir 2.76-2.77
Pa  0.4183  0.7500  0.5000  4 Ir 2.76-2.77
Pa  0.5817  0.2500  0.0000  4 Ir 2.76-2.77
Pa  0.5817  0.2500  0.5000  4 Ir 2.76-2.77
Ir  0.3522  0.0354  0.7500  4 Pa 2.76-2.77, 2 Nd 3.06-3.09
Ir  0.3522  0.4646  0.2500  4 Pa 2.76-2.77, 2 Nd 3.06-3.09
Ir  0.6478  0.5354  0.7500  4 Pa 2.76-2.77, 2 Nd 3.06-3.09
Ir  0.6478  0.9646  0.2500  4 Pa 2.76-2.77, 2 Nd 3.06-3.09

Values from the calculation:
Relative energy among the computed polymorphs ... 0.000 eV/atom
Calculated formation energy ... -13.13 kcal/mol of atoms

---

(6)
Entry from Alexandria: crystalline CaTl2Cd at its relaxed geometry (GGA-PBE).

Unit cell a=4.3279 b=5.0160 c=5.0777 alpha=90.00 beta=90.00 gamma=90.00
With the nearest neighbours (Å) after each atom.
Element x y z (fractional)
Ca  0.0000  0.0000  0.0000  8 Tl 3.31-3.34, 4 Cd 3.57
Tl  0.5000  0.0000  0.5000  4 Cd 3.31, 4 Ca 3.34, 4 Tl 3.57
Tl  0.5000  0.5000  0.0000  4 Ca 3.31, 4 Cd 3.34, 4 Tl 3.57
Cd  0.0000  0.5000  0.5000  8 Tl 3.31-3.34, 4 Ca 3.57

Values from the calculation:
Relative energy among the computed polymorphs ... 0.000 eV/atom
Calculated formation energy ... -5.57 kcal/mol of atoms

---

Repeat the third record exactly.
Entry from Alexandria: crystalline LiGdTiRu at its relaxed geometry (GGA-PBE).

Unit cell a=6.6078 b=6.6078 c=6.6078 alpha=90.00 beta=90.00 gamma=90.00
With the nearest neighbours (Å) after each atom.
Element x y z (fractional)
Li  0.0000  0.0000  0.0000  4 Ti 2.86, 4 Gd 2.86
Li  0.0000  0.5000  0.5000  4 Ti 2.86, 4 Gd 2.86
Li  0.5000  0.0000  0.5000  4 Ti 2.86, 4 Gd 2.86
Li  0.5000  0.5000  0.0000  4 Ti 2.86, 4 Gd 2.86
Gd  0.2500  0.2500  0.2500  4 Li 2.86, 4 Ru 2.86
Gd  0.2500  0.7500  0.7500  4 Li 2.86, 4 Ru 2.86
Gd  0.7500  0.2500  0.7500  4 Li 2.86, 4 Ru 2.86
Gd  0.7500  0.7500  0.2500  4 Li 2.86, 4 Ru 2.86
Ti  0.2500  0.2500  0.7500  4 Li 2.86, 4 Ru 2.86
Ti  0.2500  0.7500  0.2500  4 Ru 2.86, 4 Li 2.86
Ti  0.7500  0.2500  0.2500  4 Ru 2.86, 4 Li 2.86
Ti  0.7500  0.7500  0.7500  4 Ru 2.86, 4 Li 2.86
Ru  0.0000  0.0000  0.5000  4 Gd 2.86, 4 Ti 2.86
Ru  0.0000  0.5000  0.0000  4 Gd 2.86, 4 Ti 2.86
Ru  0.5000  0.0000  0.0000  4 Gd 2.86, 4 Ti 2.86
Ru  0.5000  0.5000  0.5000  4 Gd 2.86, 4 Ti 2.86

Values from the calculation:
Calculated formation energy ... -2.73 kcal/mol of atoms

---

Please write out number 3 again, unchanged.
Entry from Alexandria: crystalline LiGdTiRu at its relaxed geometry (GGA-PBE).

Unit cell a=6.6078 b=6.6078 c=6.6078 alpha=90.00 beta=90.00 gamma=90.00
With the nearest neighbours (Å) after each atom.
Element x y z (fractional)
Li  0.0000  0.0000  0.0000  4 Ti 2.86, 4 Gd 2.86
Li  0.0000  0.5000  0.5000  4 Ti 2.86, 4 Gd 2.86
Li  0.5000  0.0000  0.5000  4 Ti 2.86, 4 Gd 2.86
Li  0.5000  0.5000  0.0000  4 Ti 2.86, 4 Gd 2.86
Gd  0.2500  0.2500  0.2500  4 Li 2.86, 4 Ru 2.86
Gd  0.2500  0.7500  0.7500  4 Li 2.86, 4 Ru 2.86
Gd  0.7500  0.2500  0.7500  4 Li 2.86, 4 Ru 2.86
Gd  0.7500  0.7500  0.2500  4 Li 2.86, 4 Ru 2.86
Ti  0.2500  0.2500  0.7500  4 Li 2.86, 4 Ru 2.86
Ti  0.2500  0.7500  0.2500  4 Ru 2.86, 4 Li 2.86
Ti  0.7500  0.2500  0.2500  4 Ru 2.86, 4 Li 2.86
Ti  0.7500  0.7500  0.7500  4 Ru 2.86, 4 Li 2.86
Ru  0.0000  0.0000  0.5000  4 Gd 2.86, 4 Ti 2.86
Ru  0.0000  0.5000  0.0000  4 Gd 2.86, 4 Ti 2.86
Ru  0.5000  0.0000  0.0000  4 Gd 2.86, 4 Ti 2.86
Ru  0.5000  0.5000  0.5000  4 Gd 2.86, 4 Ti 2.86

Values from the calculation:
Calculated formation energy ... -2.73 kcal/mol of atoms